# Li8BiO6 GGA-PBEsol optimized geometry
data_Li8BiO6
_cell_length_a 5.7457
_cell_length_b 5.7457
_cell_length_c 10.7837
_cell_angle_alpha 90.00
_cell_angle_beta 90.00
_cell_angle_gamma 120.00
_symmetry_space_group_name_H-M 'P 63 c m'
_symmetry_Int_Tables_number 185
_symmetry_space_group_name_Hall 'P 6c -2'
loop_
_atom_site_label
_atom_site_type_symbol
_atom_site_fract_x
_atom_site_fract_y
_atom_site_fract_z
_atom_site_occupancy
Li1 Li 0.0000 0.3217 0.0000 1
Li2 Li 0.0000 0.4156 0.6408 1
Li3 Li 0.3333 0.6667 0.3651 1
Bi1 Bi 0.0000 0.0000 0.2785 1
O1 O 0.0000 0.0000 0.0786 1
O2 O 0.0000 0.3593 0.8188 1
O3 O 0.3333 0.6667 0.0547 1
# - Crystal system: hexagonal
# - ΔE_f (raw): -1.663 eV per atom


# Li2BiO3 GGA-PBEsol optimized geometry
data_Li2BiO3
_cell_length_a 5.681
_cell_length_b 9.679
_cell_length_c 10.202
_cell_angle_alpha 90.00
_cell_angle_beta 98.44
_cell_angle_gamma 90.00
_symmetry_space_group_name_H-M 'C 1 2/c 1'
_symmetry_Int_Tables_number 15
loop_
_symmetry_equiv_pos_as_xyz
'x,y,z'
'-x,-y,-z'
'-x,y,-z+1/2'
'x,-y,z+1/2'
'x+1/2,y+1/2,z'
'-x+1/2,-y+1/2,-z'
'-x+1/2,y+1/2,-z+1/2'
'x+1/2,-y+1/2,z+1/2'
loop_
_atom_site_label
_atom_site_type_symbol
_atom_site_fract_x
_atom_site_fract_y
_atom_site_fract_z
_atom_site_occupancy
Li1 Li 0.000 0.092 0.250 1
Li2 Li 0.201 0.095 0.004 1
Li3 Li 0.250 0.250 0.500 1
Bi1 Bi 0.000 0.243 0.750 1
Bi2 Bi 0.000 0.425 0.250 1
O1 O 0.111 0.085 0.625 1
O2 O 0.134 0.392 0.627 1
O3 O 0.160 0.251 0.129 1
# - Crystal system: monoclinic
# - ΔE_f (raw): -1.492 eV per atom


# Li3BiO GGA-PBEsol optimized geometry
data_Li3BiO
_cell_length_a 4.091
_cell_length_b 4.091
_cell_length_c 4.091
_cell_angle_alpha 90.00
_cell_angle_beta 90.00
_cell_angle_gamma 90.00
_symmetry_space_group_name_H-M 'P m -3 m'
_symmetry_Int_Tables_number 221
_symmetry_space_group_name_Hall '-P 4 2 3'
loop_
_atom_site_label
_atom_site_type_symbol
_atom_site_fract_x
_atom_site_fract_y
_atom_site_fract_z
_atom_site_occupancy
Li1 Li 0.000 0.000 0.500 1
Bi1 Bi 0.500 0.500 0.500 1
O1 O 0.000 0.000 0.000 1
# - Crystal system: cubic
# - ΔE_f (raw): -0.979 eV per atom